Below is a relaxed structure of Na5B9C, with properties calculated at the PBE-GGA level.

Values from the calculation:
crystal system = trigonal
DFT formation energy = 0.27 eV/atom
Fermi-level density of states = 12.62 states/eV per cell
V = 11.09 Å³ per atom
total energy = -4.7867 eV/atom
symmetry = P-3m1

Structure (POSCAR):
```
Na5B9C
1.0
-2.4252 1.1006 -1.3521
-0.2971 -1.9087 2.2781
-0.4092 33.0405 27.6289
Na C B
10 2 18
Cartesian
-0.4082 32.9596 27.5612
-0.0401 3.2395 2.7089
-0.0814 6.5693 5.4933
-0.1225 9.8917 8.2716
-0.1637 13.2162 11.0515
-0.2048 16.5407 13.8315
-0.2460 19.8632 16.6098
-0.2872 23.1929 19.3942
-0.3283 26.5134 22.1708
-0.3683 29.7364 24.8660
-1.3548 27.2244 24.5906
-2.1040 31.4405 26.0673
-1.0260 0.6760 2.3906
-1.7766 5.0050 3.9616
-1.0672 4.0019 5.1717
-1.7354 1.6791 1.1805
-1.1083 7.3230 7.9489
-1.8589 11.6515 9.5195
-1.1495 10.6484 10.7296
-1.8177 8.3261 6.7388
-1.1907 13.9729 13.5096
-1.9413 18.3014 15.0802
-1.2319 17.2983 16.2903
-1.9001 14.9760 12.2995
-1.2730 20.6194 19.0674
-2.0236 24.9483 20.6385
-1.3142 23.9452 21.8486
-1.9824 21.6225 17.8574
-1.3946 30.4383 27.2782
-2.0642 28.2265 23.3798
```

Below is a relaxed structure of Na5B9C, with properties calculated at the PBE-GGA level.

Values from the calculation:
crystal system = monoclinic
DFT formation energy = 0.26 eV/atom
Fermi-level density of states = 7.13 states/eV per cell
V = 11.16 Å³ per atom
total energy = -4.7997 eV/atom
symmetry = C2

Structure (POSCAR):
```
Na5B9C
1.0
-5.2576 -5.5212 -2.0117
-0.6675 -6.6654 -4.1593
3.3264 -2.1502 8.2550
Na B C
10 18 2
Cartesian
-4.7384 -9.7622 -4.9115
-3.6659 -12.0448 -1.4244
-0.2275 -9.4616 4.5482
-2.4969 -9.5901 -0.2124
0.9583 -7.0289 5.7825
-1.2953 -7.1715 1.0444
-1.1787 -2.4347 -1.2343
-0.1117 -4.7359 2.2721
-1.9295 -7.6698 6.2383
1.0764 -2.2917 3.5110
-2.8278 -9.8730 -2.9315
-0.8966 -6.9014 3.7628
-1.8949 -12.0894 0.6713
-2.0253 -4.6054 0.2667
-1.6419 -7.4354 -1.6960
0.2962 -4.4805 4.9842
-0.7471 -9.7290 1.8670
-1.5060 -8.8384 -2.6521
-0.4581 -4.9959 -0.4663
0.7935 -8.7181 2.0592
0.6672 -7.2227 3.0765
-0.3231 -6.3983 -1.4228
-4.5292 -8.0850 -1.2378
1.8252 -4.8617 4.2687
-4.3948 -9.4824 -2.1984
-3.3459 -5.6453 -0.0079
-2.2925 -8.0172 3.4578
-3.2090 -7.0454 -0.9622
1.9734 -6.2246 3.3317
-2.1343 -9.3805 2.5174
```

Below is a relaxed structure of Na2B3C, with properties calculated at the PBE-GGA level.

Values from the calculation:
crystal system = orthorhombic
DFT formation energy = 0.18 eV/atom
Fermi-level density of states = 5.35 states/eV per cell
V = 10.64 Å³ per atom
total energy = -5.1394 eV/atom
symmetry = Amm2

Structure (POSCAR):
```
Na2B3C
1.0
7.7028 0.0267 0.0000
-6.0357 4.7858 0.0000
0.0000 0.0000 8.6197
Na B C
10 15 5
Cartesian
-3.2924 3.8433 0.0068
-3.2924 3.8433 4.3030
-0.5311 2.8868 0.0068
-0.5311 2.8868 4.3030
0.0007 0.0028 8.6118
0.0007 0.0028 4.3178
2.2086 1.9330 8.6118
2.2086 1.9330 4.3178
4.9540 0.9754 0.0197
4.9540 0.9754 4.2901
-2.1719 2.6142 6.4648
-2.1862 2.5727 2.1549
-1.6185 4.2116 6.4648
0.5397 1.6491 6.4648
1.1501 3.2801 2.1549
0.4015 1.4921 2.1549
1.0513 3.2720 6.4648
2.8035 3.5600 6.4648
1.6657 0.4065 2.1549
2.8150 3.3511 2.1549
1.7383 0.3391 6.4648
3.3811 0.6350 2.1549
3.8525 2.1060 6.4648
-0.0563 4.5208 2.1549
-1.1839 1.1556 6.4648
-1.6261 4.1897 2.1549
3.3401 0.6425 6.4648
3.9385 2.2618 2.1549
-0.0195 4.5014 6.4648
-1.1551 1.3313 2.1549
```